1.
Below is a relaxed structure of Ta3Mn2B2N3, with properties calculated at the GGA-PBE level.

Values from the calculation:
**Density of states at the Fermi level**: 3.663 states/eV per cell
**Energy**: -9.69 eV/atom
**Formation energy (no corrections)**: -467.9 meV/atom
**Size of the total moment**: 2.7 μB per cell

a = 3.3245 Å, b = 3.2500 Å, c = 9.8974 Å
α = 99.47°, β = 99.64°, γ = 89.98°
Fractional positions:
N 0.9064 0.8974 0.7939
N 0.4770 0.4996 0.9989
N 0.1115 0.1029 0.2060
Mn 0.2675 0.7502 0.5005
Mn 0.7670 0.2500 0.4997
B 0.8367 0.8186 0.6362
B 0.2011 0.1819 0.3639
Ta 0.6548 0.6344 0.2695
Ta 0.3839 0.3657 0.7313
Ta 0.8941 0.9994 0.0000

2.
Below is a relaxed structure of Sm2Dy8Sc3, with properties calculated at the GGA-PBE level.

Values from the calculation:
**Density of states at the Fermi level**: 19.258 states/eV per cell
**Energy**: -4.76 eV/atom
**Energy of formation**: 0.25 eV per atom
**Energy above the lowest structure with this stoichiometry**: 0.066 eV per atom
**Size of the total moment**: 0.0 μB per cell

a = 6.5591 Å, b = 8.7016 Å, c = 8.5304 Å
α = 120.67°, β = 97.02°, γ = 90.00°
Fractional positions:
Sm 0.2833 0.2030 0.4060
Sm 0.7167 0.7970 0.5940
Dy 0.8874 0.5880 0.1761
Dy 0.1126 0.4120 0.8239
Dy 0.7909 0.1909 0.3817
Dy 0.2091 0.8091 0.6183
Dy 0.5752 0.5740 0.7822
Dy 0.5752 0.2082 0.7822
Dy 0.4248 0.7918 0.2178
Dy 0.4248 0.4260 0.2178
Sc 0.5000 0.0000 0.0000
Sc 0.0000 0.1637 0.0000
Sc 0.0000 0.8363 0.0000

3.
Below is a relaxed structure of La2Be3NiGe4, with properties calculated at the GGA-PBE level.

Values from the calculation:
**Density of states at the Fermi level**: 3.167 states/eV per cell
**Energy**: -5.02 eV/atom
**Energy of formation**: -0.49 eV per atom
**Size of the total moment**: 0.0 μB per cell

a = 4.1547 Å, b = 4.1547 Å, c = 9.8488 Å
α = 90.00°, β = 90.00°, γ = 90.00°
Fractional positions:
La 0.5000 0.0000 0.2569
La 0.0000 0.5000 0.7431
Be 0.0000 0.0000 0.5000
Be 0.5000 0.0000 0.8687
Be 0.0000 0.5000 0.1313
Ni 0.5000 0.5000 0.5000
Ge 0.5000 0.5000 0.0000
Ge 0.0000 0.0000 0.0000
Ge 0.5000 0.0000 0.6275
Ge 0.0000 0.5000 0.3725

4.
Below is a relaxed structure of Si2PtRh, with properties calculated at the GGA-PBE level.

Values from the calculation:
**Density of states at the Fermi level**: 1.303 states/eV per cell
**Energy**: -6.55 eV/atom
**Formation energy (no corrections)**: -491.4 meV/atom
**Energy above the lowest structure with this stoichiometry**: 0.195 eV per atom
**Size of the total moment**: 0.0 μB per cell

a = 5.4452 Å, b = 5.4452 Å, c = 5.4452 Å
α = 142.55°, β = 143.19°, γ = 53.53°
Fractional positions:
Pt 0.4684 0.4684 0.0000
Rh 0.2095 0.7095 0.5000
Si 0.0381 0.0381 0.0000
Si 0.7841 0.2841 0.5000

5.
Below is a relaxed structure of Be2FePAu, with properties calculated at the GGA-PBE level.

Values from the calculation:
**Density of states at the Fermi level**: 6.605 states/eV per cell
**Energy**: -3.73 eV/atom
**Energy of formation**: 1.19 eV per atom
**Size of the total moment**: 0.1 μB per cell

a = 4.1950 Å, b = 4.8311 Å, c = 4.1950 Å
α = 90.00°, β = 90.00°, γ = 90.00°
Fractional positions:
P 0.5000 0.5000 0.5000
Au 0.0000 0.0000 0.0000
Fe 0.0000 0.5000 0.0000
Be 0.0000 0.0000 0.5000
Be 0.5000 0.0000 0.0000

6.
Below is a relaxed structure of YSi5, with properties calculated at the GGA-PBE level.

Values from the calculation:
**Density of states at the Fermi level**: 3.990 states/eV per cell
**Energy**: -5.51 eV/atom
**Formation energy (no corrections)**: 91.5 meV/atom
**Energy above the lowest structure with this stoichiometry**: 0.128 eV per atom
**Size of the total moment**: 0.0 μB per cell

a = 5.2818 Å, b = 5.2818 Å, c = 4.1860 Å
α = 90.00°, β = 90.00°, γ = 120.00°
Fractional positions:
Y 0.0000 0.0000 0.5000
Si 0.5001 0.0000 0.0000
Si 0.4999 0.4999 0.0000
Si 0.0000 0.5001 0.0000
Si 0.6667 0.3333 0.5000
Si 0.3333 0.6667 0.5000

7.
Below is a relaxed structure of TmCd2Pd, with properties calculated at the GGA-PBE level.

Values from the calculation:
**Density of states at the Fermi level**: 2.708 states/eV per cell
**Energy**: -2.83 eV/atom
**Energy of formation**: 0.04 eV per atom
**Size of the total moment**: 0.0 μB per cell

a = 3.1665 Å, b = 3.1665 Å, c = 10.6883 Å
α = 81.48°, β = 81.48°, γ = 60.00°
Fractional positions:
Tm 0.0000 0.0000 0.0000
Pd 0.5000 0.5000 0.5000
Cd 0.0985 0.0985 0.7045
Cd 0.9015 0.9015 0.2955

8.
Below is a relaxed structure of SmGdTl, with properties calculated at the GGA-PBE level.

Values from the calculation:
**Density of states at the Fermi level**: 3.175 states/eV per cell
**Energy**: -7.30 eV/atom
**Energy of formation**: -0.24 eV per atom
**Energy above the lowest structure with this stoichiometry**: 0.000 eV per atom
**Size of the total moment**: 8.0 μB per cell

a = 3.7642 Å, b = 3.7642 Å, c = 6.9844 Å
α = 105.63°, β = 105.63°, γ = 90.00°
Fractional positions:
Tl 0.6156 0.6156 0.2313
Gd 0.9610 0.9610 0.9221
Sm 0.2733 0.2733 0.5466

9.
Below is a relaxed structure of LaGdTl2, with properties calculated at the GGA-PBE level.

Values from the calculation:
**Density of states at the Fermi level**: 4.007 states/eV per cell
**Energy**: -6.34 eV/atom
**Energy of formation**: -0.41 eV per atom
**Energy above the lowest structure with this stoichiometry**: 0.000 eV per atom
**Size of the total moment**: 7.3 μB per cell

a = 3.8626 Å, b = 3.8626 Å, c = 7.9702 Å
α = 90.00°, β = 90.00°, γ = 90.00°
Fractional positions:
Tl 0.0000 0.0000 0.7636
Tl 0.0000 0.0000 0.2364
Gd 0.5000 0.5000 0.0000
La 0.5000 0.5000 0.5000

10.
Below is a relaxed structure of Cr3H4, with properties calculated at the GGA-PBE level.

Values from the calculation:
**Density of states at the Fermi level**: 7.555 states/eV per cell
**Energy**: -5.91 eV/atom
**Size of the total moment**: 0.0 μB per cell

a = 4.8269 Å, b = 4.8269 Å, c = 4.8269 Å
α = 109.47°, β = 109.47°, γ = 109.47°
Fractional positions:
Cr 0.1250 0.3750 0.2500
Cr 0.6250 0.7500 0.8750
Cr 0.8750 0.2500 0.6250
Cr 0.2500 0.8750 0.1250
Cr 0.7500 0.6250 0.3750
Cr 0.3750 0.1250 0.7500
H 0.3545 0.5000 0.0000
H 0.5000 0.3545 0.5000
H 0.0000 0.0000 0.3545
H 0.6455 0.1455 0.1455
H 0.0000 0.0000 0.8545
H 0.1455 0.6455 0.6455
H 0.8545 0.5000 0.0000
H 0.5000 0.8545 0.5000

11.
Below is a relaxed structure of Li2ZrAlH, with properties calculated at the GGA-PBE level.

Values from the calculation:
**Density of states at the Fermi level**: 2.339 states/eV per cell
**Energy**: -4.12 eV/atom
**Energy above the lowest structure with this stoichiometry**: 0.000 eV per atom
**Size of the total moment**: 0.0 μB per cell

a = 4.0114 Å, b = 4.0114 Å, c = 4.5254 Å
α = 90.00°, β = 90.00°, γ = 90.00°
Fractional positions:
H 0.0000 0.0000 0.0000
Al 0.5000 0.5000 0.5000
Zr 0.0000 0.0000 0.5000
Li 0.0000 0.5000 0.0000
Li 0.5000 0.0000 0.0000

12.
Below is a relaxed structure of Pm3Ni3Sn8, with properties calculated at the GGA-PBE level.

Values from the calculation:
**Density of states at the Fermi level**: 7.022 states/eV per cell
**Energy**: -4.92 eV/atom
**Energy of formation**: -0.38 eV per atom
**Size of the total moment**: 0.0 μB per cell

a = 4.9505 Å, b = 8.8553 Å, c = 8.4785 Å
α = 69.33°, β = 73.03°, γ = 73.77°
Fractional positions:
Pm 0.2926 0.6864 0.7283
Pm 0.7074 0.3136 0.2717
Pm 0.0000 0.0000 0.0000
Ni 0.0000 0.5000 0.5000
Ni 0.6551 0.6678 0.0220
Ni 0.3449 0.3322 0.9780
Sn 0.1374 0.1547 0.5705
Sn 0.8626 0.8453 0.4295
Sn 0.8548 0.4307 0.8597
Sn 0.1452 0.5693 0.1403
Sn 0.4936 0.6765 0.3363
Sn 0.5064 0.3235 0.6637
Sn 0.3494 0.0701 0.2312
Sn 0.6506 0.9299 0.7688